A relaxed structure of KTa2Rh. Source: Alexandria, functional PBE.

Space group   Immm
Calculated volume   84 Å³/f.u.
Calculated formation energy   0.69 eV/atom

Unit cell a=6.380 b=6.380 c=6.380 alpha=154.65 beta=130.38 gamma=56.53
Fractional coordinates of all 4 atoms:
1 K 0.000 0.000 0.000
2 Ta 0.296 0.796 0.500
3 Ta 0.704 0.204 0.500
4 Rh 0.500 0.500 0.000